(1)
DFT (PBE) results for a geometry-optimized Tb2ErTmBi5 structure.

POSCAR file:
```
Tb2ErTmBi5
1.0
5.363 0.000 0.000
0.000 5.363 0.000
0.000 0.000 11.812
Tb Er Tm Bi
2 1 1 5
Direct
0.000 0.000 0.230
0.000 0.000 0.770
0.500 0.500 0.500
0.500 0.500 0.000
0.000 0.000 0.500
0.000 0.500 0.000
0.500 0.000 0.000
0.500 0.500 0.254
0.500 0.500 0.746
```

Calculated values
energy of formation from the pure elements	-5	meV per atom
SG	P4/mmm (123)
M_tot	0.0	μB per cell



(2)
DFT (PBE) results for a geometry-optimized Hg2PbBr structure.

POSCAR file:
```
Hg2PbBr
1.0
3.763 0.000 0.000
0.000 5.058 0.000
-1.827 0.000 6.403
Hg Pb Br
2 1 1
Direct
0.000 0.000 0.000
0.449 0.500 0.884
0.151 0.500 0.393
0.719 0.000 0.474
```

Calculated values
polymorph energy (0 for the lowest one)	0	meV/atom
SG	Pm (6)
formation energy without anion corrections	-0.84	eV/f.u.
M_tot	0.0	μB per cell



(3)
DFT (PBE) results for a geometry-optimized Tb2Pm3Au2 structure.

POSCAR file:
```
Tb2Pm3Au2
1.0
6.378 -1.904 0.000
6.378 1.904 0.000
-3.850 0.000 8.442
Tb Pm Au
2 3 2
Direct
0.154 0.154 0.312
0.846 0.846 0.688
0.388 0.388 0.057
0.500 0.500 0.500
0.612 0.612 0.943
0.172 0.172 0.723
0.828 0.828 0.277
```

Calculated values
energy of formation from the pure elements	-462	meV per atom
SG	C2/m (12)
M_tot	0.0	μB per cell



(4)
DFT (PBE) results for a geometry-optimized MgFeGeRu structure.

POSCAR file:
```
MgFeGeRu
1.0
0.000 3.061 3.061
3.061 0.000 3.061
3.061 3.061 0.000
Mg Fe Ge Ru
1 1 1 1
Direct
0.000 0.000 0.000
0.750 0.750 0.750
0.250 0.250 0.250
0.500 0.500 0.500
```

Calculated values
energy of formation from the pure elements	-2	meV per atom
SG	F-43m (216)
M_tot	3.3	μB per cell



(5)
DFT (PBE) results for a geometry-optimized AlAgTe structure.

POSCAR file:
```
AlAgTe
1.0
2.648 -2.669 0.000
2.648 2.669 0.000
-0.023 0.000 10.052
Al Ag Te
2 2 2
Direct
0.249 0.249 0.286
0.751 0.751 0.714
0.250 0.250 0.549
0.750 0.750 0.451
0.252 0.252 0.829
0.748 0.748 0.171
```

Calculated values
polymorph energy (0 for the lowest one)	0	meV/atom
SG	C2/m (12)
formation energy without anion corrections	-0.34	eV/f.u.
M_tot	0.0	μB per cell



(6)
DFT (PBE) results for a geometry-optimized SiRh2Pb structure.

POSCAR file:
```
SiRh2Pb
1.0
-1.877 1.877 4.721
1.877 -1.877 4.721
1.877 1.877 -4.721
Si Rh Pb
1 2 1
Direct
0.000 0.000 0.000
0.500 0.500 0.000
0.750 0.250 0.500
0.250 0.750 0.500
```

Calculated values
polymorph energy (0 for the lowest one)	428	meV/atom
SG	I-4m2 (119)
formation energy without anion corrections	0.05	eV/f.u.
M_tot	0.0	μB per cell



Number 1: D(E_F) 5.9 states/eV per cell. Number 2: D(E_F) 1.2 states/eV per cell. Number 3: D(E_F) 7.3 states/eV per cell. Number 4: D(E_F) 3.5 states/eV per cell. Number 5: D(E_F) 1.7 states/eV per cell. Number 6: D(E_F) 1.3 states/eV per cell.